1.
Compound: CuRhBr2
Source: the Alexandria database
Functional: PBE
Structure: optimized geometry

```
data_CuRhBr2
_space_group_name_H-M_alt 'P m m m'
_space_group_IT_number 47
_space_group_name_Hall '-P 2 2'
_cell_length_a 3.564
_cell_length_b 3.646
_cell_length_c 7.130
_cell_angle_alpha 90.00
_cell_angle_beta 90.00
_cell_angle_gamma 90.00
loop_
_atom_site_label
_atom_site_type_symbol
_atom_site_fract_x
_atom_site_fract_y
_atom_site_fract_z
Cu1 Cu 0.000 0.000 0.000
Rh1 Rh 0.500 0.000 0.500
Br1 Br 0.000 0.500 0.500
Br2 Br 0.500 0.500 0.000
```

## Properties
formation energy from raw total energies: 0.35 eV/atom

=====

2.
Compound: PuGaTe3
Source: the Alexandria database
Functional: PBE
Structure: optimized geometry

```
data_PuGaTe3
_space_group_name_H-M_alt 'P n m a'
_space_group_IT_number 62
_space_group_name_Hall '-P 2ac 2n'
_cell_length_a 8.417
_cell_length_b 12.088
_cell_length_c 7.359
_cell_angle_alpha 90.00
_cell_angle_beta 90.00
_cell_angle_gamma 90.00
loop_
_atom_site_label
_atom_site_type_symbol
_atom_site_fract_x
_atom_site_fract_y
_atom_site_fract_z
Pu1 Pu 0.000 0.000 0.000
Ga1 Ga 0.176 0.250 0.452
Te1 Te 0.007 0.250 0.136
Te2 Te 0.175 0.069 0.650
```

## Properties
formation energy from raw total energies: -0.51 eV/atom

=====

3.
Compound: NaLaScSbO6
Source: the Alexandria database
Functional: PBE
Structure: optimized geometry

```
data_NaLaScSbO6
_space_group_name_H-M_alt 'P 1 c 1'
_space_group_IT_number 7
_space_group_name_Hall 'P -2yc'
_cell_length_a 5.637
_cell_length_b 5.725
_cell_length_c 9.807
_cell_angle_alpha 90.00
_cell_angle_beta 125.05
_cell_angle_gamma 90.00
loop_
_atom_site_label
_atom_site_type_symbol
_atom_site_fract_x
_atom_site_fract_y
_atom_site_fract_z
Na1 Na 0.000 0.225 0.000
La1 La 0.485 0.294 0.499
Sc1 Sc 0.743 0.243 0.248
Sb1 Sb 0.245 0.245 0.749
O1 O 0.007 0.459 0.789
O2 O 0.093 0.039 0.293
O3 O 0.413 0.474 0.206
O4 O 0.487 0.049 0.704
O5 O 0.565 0.273 0.993
O6 O 0.914 0.230 0.506
```

## Properties
formation energy from raw total energies: -2.58 eV/atom